# 1
Density functional theory data (PBE) for a relaxed structure of K3Hg2Pb2O4.

Cell and atoms, written as extended XYZ:
```
11
Lattice="-2.246 2.246 13.520 2.246 -2.246 13.520 2.246 2.246 -13.520" Properties=species:S:1:pos:R:3 pbc="T T T"
K 0.000 0.000 0.000
K 0.000 0.000 3.498
K 0.000 0.000 23.542
Hg 0.000 0.000 7.294
Hg 0.000 0.000 19.747
Pb 0.000 0.000 11.903
Pb 0.000 0.000 15.137
O 2.246 0.000 2.060
O 2.246 0.000 11.461
O 0.000 2.246 2.060
O 0.000 2.246 11.461
```

Its total magnetization is 0.00 μB/cell. The value obtained for the total energy is -40.95 eV per cell.



# 2
Density functional theory data (PBE) for a relaxed structure of K6Hg2PdO.

Cell and atoms, written as extended XYZ:
```
10
Lattice="-4.102 5.816 4.125 4.102 -5.816 4.125 4.102 5.816 -4.125" Properties=species:S:1:pos:R:3 pbc="T T T"
K 0.000 2.649 0.000
K 1.874 0.000 1.879
K 6.330 0.000 1.879
K 0.000 8.983 0.000
K -2.228 5.816 2.252
K 2.228 5.816 2.252
Hg 4.102 2.919 0.009
Hg 0.000 2.897 4.134
Pd 0.000 5.816 0.004
O 0.000 0.000 0.002
```

Its total magnetization is 0.00 μB/cell. The value obtained for the total energy is -20.71 eV per cell.



# 3
Density functional theory data (PBE) for a relaxed structure of K5HgPdO2.

Cell and atoms, written as extended XYZ:
```
9
Lattice="5.442 0.000 0.000 0.000 5.442 0.000 0.000 0.000 9.419" Properties=species:S:1:pos:R:3 pbc="T T T"
K 0.000 0.000 0.000
K 0.000 2.721 2.780
K 0.000 2.721 6.639
K 2.721 0.000 2.780
K 2.721 0.000 6.639
Hg 2.721 2.721 0.000
Pd 0.000 0.000 4.709
O 0.000 0.000 2.649
O 0.000 0.000 6.769
```

Its total magnetization is 0.55 μB/cell. The value obtained for the total energy is -27.08 eV per cell.